VASP calculation (PBE) on an optimized crystal structure of SbRh2C.

Values from the calculation:
space group = Fm-3m
relative energy among the computed polymorphs = 76.0 kJ per mole of atoms
formation energy (no corrections) = 3.9 eV per formula unit

Unit cell a=4.343 b=4.343 c=4.343 alpha=60.00 beta=60.00 gamma=60.00
Each line ends with the local moment (μB).
Sites, in units of the cell vectors:
C  0.000  0.000  0.000  0.04
Rh  0.750  0.750  0.750  0.14
Rh  0.250  0.250  0.250  0.14
Sb  0.500  0.500  0.500  0.00


VASP calculation (PBE) on an optimized crystal structure of BeRuSe2.

Values from the calculation:
space group = Pm
formation energy (no corrections) = -0.2 eV per formula unit

Unit cell a=4.656 b=3.701 c=4.139 alpha=75.62 beta=90.00 gamma=90.00
Sites, in units of the cell vectors:
Be  0.000  0.498  0.548
Se  0.500  0.356  0.340
Se  0.000  0.904  0.875
Ru  0.500  0.742  0.737


VASP calculation (PBE) on an optimized crystal structure of Ac3FeP2N6.

Values from the calculation:
space group = P-3m1
formation energy (no corrections) = -9.6 eV per formula unit

Unit cell a=5.577 b=5.577 c=6.656 alpha=90.00 beta=90.00 gamma=120.00
Each line ends with the local moment (μB).
Sites, in units of the cell vectors:
P  0.333  0.667  0.213  -0.01
P  0.667  0.333  0.787  -0.01
N  0.171  0.829  0.306  0.01
N  0.342  0.171  0.694  0.01
N  0.658  0.829  0.306  0.01
N  0.829  0.171  0.694  0.01
N  0.171  0.342  0.306  0.01
N  0.829  0.658  0.694  0.01
Fe  0.000  0.000  0.500  0.98
Ac  0.000  0.000  0.000  0.00
Ac  0.333  0.667  0.658  -0.01
Ac  0.667  0.333  0.342  -0.01


VASP calculation (PBE) on an optimized crystal structure of HoScCuGe.

Values from the calculation:
space group = F-43m
ΔH_f (0 K) = -0.50 eV/atom

Unit cell a=4.814 b=4.814 c=4.814 alpha=60.00 beta=60.00 gamma=60.00
Sites, in units of the cell vectors:
Cu  0.750  0.750  0.750
Ge  0.250  0.250  0.250
Ho  0.000  0.000  0.000
Sc  0.500  0.500  0.500


VASP calculation (PBE) on an optimized crystal structure of Ba2Li3BiPd12.

Values from the calculation:
space group = R-3m
ΔH_f (0 K) = -0.18 eV/atom

Unit cell a=10.770 b=10.770 c=10.770 alpha=34.55 beta=34.55 gamma=34.55
Sites, in units of the cell vectors:
Pd  0.576  0.115  0.115
Pd  0.402  0.820  0.402
Pd  0.598  0.180  0.598
Pd  0.180  0.598  0.598
Pd  0.115  0.576  0.115
Pd  0.820  0.402  0.402
Pd  0.402  0.402  0.820
Pd  0.885  0.424  0.885
Pd  0.115  0.115  0.576
Pd  0.885  0.885  0.424
Pd  0.598  0.598  0.180
Pd  0.424  0.885  0.885
Li  0.000  0.500  0.000
Li  0.500  0.000  0.000
Li  0.000  0.000  0.500
Ba  0.365  0.365  0.365
Ba  0.635  0.635  0.635
Bi  0.000  0.000  0.000


VASP calculation (PBE) on an optimized crystal structure of KMgBr2.

Values from the calculation:
space group = R-3m
relative energy among the computed polymorphs = 8.1 kJ per mole of atoms
formation energy (no corrections) = -4.2 eV per formula unit

Unit cell a=9.403 b=9.403 c=9.403 alpha=27.92 beta=27.92 gamma=27.92
Sites, in units of the cell vectors:
Br  0.905  0.905  0.905
Br  0.095  0.095  0.095
Mg  0.000  0.000  0.000
K  0.500  0.500  0.500


Number 1: uncorrected energy -6.05 eV/atom, V 14.48 A^3/atom. Number 2: uncorrected energy -5.04 eV/atom, V 17.27 A^3/atom. Number 3: uncorrected energy -7.59 eV/atom, V 14.94 A^3/atom. Number 4: uncorrected energy -5.40 eV/atom, V 19.72 A^3/atom. Number 5: uncorrected energy -4.39 eV/atom, V 19.91 A^3/atom. Number 6: uncorrected energy -2.57 eV/atom, V 40.25 A^3/atom.